[1]
## Ti2Be (GGA-PBE)

Data for crystalline Ti2Be at its relaxed geometry.

Its crystal system is tetragonal. For the total energy, the calculation gives -6.559 eV/atom. The calculated volume is 14.40 Å³ per atom. The magnetization is 0.000 μB per atom.

abc: 5.5245 5.5245 5.5245
angles: 149.54 149.54 43.61
Sites, in units of the cell vectors:
Ti (0.1542, 0.1542, 0.0000)
Ti (0.8458, 0.8458, 0.0000)
Be (0.5000, 0.5000, 0.0000)


[2]
## Sc2TlCl (GGA-PBE)

Data for crystalline Sc2TlCl at its relaxed geometry.

The calculation puts the energy above the most stable polymorph in this dataset at 0 meV per atom. Its crystal system is monoclinic. The value obtained for the formation energy (no corrections) is -690.0 meV/atom. For the total energy, the calculation gives -4.909 eV/atom. The calculated volume is 23.10 Å³ per atom. The magnetization is 0.138 μB per atom.

abc: 3.5613 3.5106 7.3901
angles: 90.00 90.07 90.00
Sites, in units of the cell vectors:
Sc (0.0009, 0.0000, 0.2434)
Sc (0.9991, 0.0000, 0.7566)
Tl (0.5000, 0.5000, 0.0000)
Cl (0.0000, 0.5000, 0.5000)


[3]
## LaDy3Er4 (GGA-PBE)

Data for crystalline LaDy3Er4 at its relaxed geometry.

The calculation puts the energy above the most stable polymorph in this dataset at 114 meV per atom. Its crystal system is monoclinic. For the total energy, the calculation gives -4.494 eV/atom. The calculated volume is 32.52 Å³ per atom. The magnetization is 0.000 μB per atom.

abc: 8.8468 8.8468 3.4770
angles: 101.21 101.21 94.06
Sites, in units of the cell vectors:
La (0.0000, 0.0000, 0.0000)
Dy (0.2595, 0.7405, 0.5000)
Dy (0.5000, 0.5000, 0.0000)
Dy (0.7405, 0.2595, 0.5000)
Er (0.1203, 0.3933, 0.7562)
Er (0.3933, 0.1203, 0.7562)
Er (0.6067, 0.8797, 0.2438)
Er (0.8797, 0.6067, 0.2438)


[4]
## HoSc2Cu3 (GGA-PBE)

Data for crystalline HoSc2Cu3 at its relaxed geometry.

Its crystal system is tetragonal. For the total energy, the calculation gives -5.190 eV/atom. The calculated volume is 18.32 Å³ per atom. The magnetization is 0.000 μB per atom.

abc: 3.3077 3.3077 10.0480
angles: 90.00 90.00 90.00
Sites, in units of the cell vectors:
Ho (0.0000, 0.0000, 0.0000)
Sc (0.0000, 0.0000, 0.3394)
Sc (0.0000, 0.0000, 0.6606)
Cu (0.5000, 0.5000, 0.1855)
Cu (0.5000, 0.5000, 0.5000)
Cu (0.5000, 0.5000, 0.8145)


[5]
## Be3NbMo (GGA-PBE)

Data for crystalline Be3NbMo at its relaxed geometry.

The calculation puts the energy above the most stable polymorph in this dataset at 664 meV per atom. Its crystal system is cubic. For the total energy, the calculation gives -4.795 eV/atom. The calculated volume is 14.59 Å³ per atom. The magnetization is 0.006 μB per atom.

abc: 4.1783 4.1783 4.1783
angles: 90.00 90.00 90.00
Sites, in units of the cell vectors:
Be (0.0000, 0.0000, 0.5000)
Be (0.0000, 0.5000, 0.0000)
Be (0.5000, 0.0000, 0.0000)
Nb (0.0000, 0.0000, 0.0000)
Mo (0.5000, 0.5000, 0.5000)


[6]
## Zn2InSi (GGA-PBE)

Data for crystalline Zn2InSi at its relaxed geometry.

The calculation puts the energy above the most stable polymorph in this dataset at 86 meV per atom. Its crystal system is orthorhombic. The value obtained for the formation energy (no corrections) is 298.3 meV/atom. For the total energy, the calculation gives -2.379 eV/atom. The calculated volume is 18.83 Å³ per atom. The magnetization is 0.000 μB per atom.

abc: 6.0464 6.0464 6.0464
angles: 153.57 129.63 57.78
Sites, in units of the cell vectors:
Zn (0.0000, 0.0000, 0.0000)
Zn (0.7674, 0.2674, 0.5000)
In (0.2895, 0.7895, 0.5000)
Si (0.5507, 0.5507, 0.0000)